Here is a geometry-optimized HfSbTe2 structure from Alexandria via LeMat-Bulk. Energies are from GGA-PBE.

Values from the calculation:
Raw formation energy in eV per atom: -0.3692

a = 3.7991 Å, b = 3.7991 Å, c = 29.5884 Å
α = 90.00°, β = 90.00°, γ = 120.00°
Space group R-3m (No. 166, hexagonal axes)
Asymmetric unit:
Hf: 0.0000 0.0000 0.0000 x3
Sb: 0.0000 0.0000 0.5000 x3
Te: 0.0000 0.0000 0.3958 x6

Here is a geometry-optimized Cd7Ni6 structure from Alexandria via LeMat-Bulk. Energies are from GGA-PBE.

Values from the calculation:
Formation energy in eV/atom: 0.473

a = 5.4923 Å, b = 5.4923 Å, c = 26.0852 Å
α = 90.00°, β = 90.00°, γ = 120.00°
Space group R-3m (No. 166, hexagonal axes)
Asymmetric unit:
Cd: 0.0000 0.0000 0.0000 x3
Cd: 0.0056 0.5028 0.4192 x18
Ni: 0.0000 0.0000 0.1661 x6
Ni: 0.0000 0.0000 0.3502 x6
Ni: 0.0000 0.0000 0.4535 x6

Here is a geometry-optimized AgPOF2 structure from Alexandria via LeMat-Bulk. Energies are from GGA-PBE.

Values from the calculation:
Raw formation energy in eV per atom: -0.9687
Energy relative to the lowest polymorph listed for this composition in meV per atom: 0

a = 4.3353 Å, b = 4.3353 Å, c = 3.5607 Å
α = 90.00°, β = 90.00°, γ = 90.00°
Space group P4/mmm (No. 123)
Asymmetric unit:
Ag: 0.0000 0.0000 0.0000 x1
P: 0.5000 0.5000 0.5000 x1
O: 0.5000 0.5000 0.0000 x1
F: 0.0000 0.5000 0.5000 x2

Here is a geometry-optimized Sc2MoBr structure from Alexandria via LeMat-Bulk. Energies are from GGA-PBE.

Values from the calculation:
Raw formation energy in eV per atom: -0.0055
Energy relative to the lowest polymorph listed for this composition in meV per atom: 363

a = 6.9241 Å, b = 7.0175 Å, c = 3.2619 Å
α = 90.00°, β = 90.18°, γ = 90.00°
Space group C2/m (No. 12)
Asymmetric unit:
Sc: 0.2500 0.2500 0.0000 x4
Mo: 0.0000 0.0000 0.5000 x2
Br: 0.0000 0.5000 0.5000 x2

Here is a geometry-optimized Zn2SbN structure from Alexandria via LeMat-Bulk. Energies are from GGA-PBE.

Values from the calculation:
Raw formation energy in eV per atom: 0.2117
Energy relative to the lowest polymorph listed for this composition in meV per atom: 0

a = 5.7455 Å, b = 5.7455 Å, c = 9.1428 Å
α = 90.00°, β = 90.00°, γ = 90.00°
Space group I-42d (No. 122)
Asymmetric unit:
Zn: 0.1110 0.2500 0.1250 x8
Sb: 0.0000 0.0000 0.5000 x4
N: 0.0000 0.0000 0.0000 x4

Here is a geometry-optimized KTi3O structure from Alexandria via LeMat-Bulk. Energies are from GGA-PBE.

Values from the calculation:
Raw formation energy in eV per atom: -0.0418
Energy relative to the lowest polymorph listed for this composition in meV per atom: 0

a = 4.3876 Å, b = 4.3876 Å, c = 4.3876 Å
α = 90.00°, β = 90.00°, γ = 90.00°
Space group Pm-3m (No. 221)
Asymmetric unit:
K: 0.0000 0.0000 0.0000 x1
Ti: 0.0000 0.5000 0.5000 x3
O: 0.5000 0.5000 0.5000 x1

Here is a geometry-optimized PmDyHo2Sc structure from Alexandria via LeMat-Bulk. Energies are from GGA-PBE.

Values from the calculation:
Formation energy in eV/atom: 0.364

a = 6.3342 Å, b = 15.9192 Å, c = 6.3322 Å
α = 90.00°, β = 90.00°, γ = 90.00°
Space group Cmcm (No. 63)
Asymmetric unit:
Pm: 0.0000 0.1616 0.2500 x4
Dy: 0.0000 0.2496 0.7500 x4
Ho: 0.2487 0.5000 0.0000 x8
Sc: 0.0000 0.3464 0.2500 x4

Here is a geometry-optimized EuErCdBi structure from Alexandria via LeMat-Bulk. Energies are from GGA-PBE.

Values from the calculation:
Formation energy in eV/atom: -0.438

a = 7.7667 Å, b = 7.7667 Å, c = 7.7667 Å
α = 90.00°, β = 90.00°, γ = 90.00°
Space group F-43m (No. 216)
Asymmetric unit:
Eu: 0.0000 0.0000 0.0000 x4
Er: 0.0000 0.0000 0.5000 x4
Cd: 0.2500 0.2500 0.2500 x4
Bi: 0.2500 0.2500 0.7500 x4

Here is a geometry-optimized LiC2O5 structure from Alexandria via LeMat-Bulk. Energies are from GGA-PBE.

Values from the calculation:
Raw formation energy in eV per atom: -1.3281

a = 3.4581 Å, b = 5.1898 Å, c = 7.5746 Å
α = 72.89°, β = 78.74°, γ = 76.53°
Space group P1 (No. 1)
Asymmetric unit:
Li: 0.0000 0.0000 0.0000 x1
C: 0.6780 0.6196 0.8851 x1
C: 0.9888 0.0348 0.3995 x1
O: 0.0442 0.1610 0.4941 x1
O: 0.5796 0.8298 0.9551 x1
O: 0.5978 0.6511 0.7219 x1
O: 0.8499 0.3870 0.9745 x1
O: 0.9354 0.9103 0.3014 x1

Here is a geometry-optimized CaCuPb2 structure from Alexandria via LeMat-Bulk. Energies are from GGA-PBE.

Values from the calculation:
Formation energy in eV/atom: 0.044

a = 6.5167 Å, b = 10.5414 Å, c = 3.6418 Å
α = 90.00°, β = 119.11°, γ = 90.00°
Space group C2/m (No. 12)
Asymmetric unit:
Ca: 0.0000 0.0000 0.0000 x2
Cu: 0.0000 0.5000 0.0000 x2
Pb: 0.2500 0.2500 0.5000 x4

Here is a geometry-optimized Ca2ThSnN4 structure from Alexandria via LeMat-Bulk. Energies are from GGA-PBE.

Values from the calculation:
Raw formation energy in eV per atom: -0.8412

a = 5.9977 Å, b = 3.5190 Å, c = 6.1810 Å
α = 90.00°, β = 109.90°, γ = 90.00°
Space group P2/m (No. 10)
Asymmetric unit:
Ca: 0.0000 0.0000 0.0000 x1
Ca: 0.5000 0.5000 0.0000 x1
Th: 0.0000 0.5000 0.5000 x1
Sn: 0.5000 0.0000 0.5000 x1
N: 0.2403 0.0000 0.7368 x2
N: 0.2744 0.5000 0.2768 x2

Here is a geometry-optimized BaBe2Ru structure from Alexandria via LeMat-Bulk. Energies are from GGA-PBE.

Values from the calculation:
Energy relative to the lowest polymorph listed for this composition in meV per atom: 1068
Formation energy in eV/atom: 1.106

a = 6.6518 Å, b = 6.6518 Å, c = 6.6518 Å
α = 90.00°, β = 90.00°, γ = 90.00°
Space group F-43m (No. 216)
Asymmetric unit:
Ba: 0.0000 0.0000 0.0000 x4
Be: 0.0000 0.0000 0.5000 x4
Be: 0.2500 0.2500 0.2500 x4
Ru: 0.2500 0.2500 0.7500 x4

Here is a geometry-optimized GdTm2Re structure from Alexandria via LeMat-Bulk. Energies are from GGA-PBE.

Values from the calculation:
Formation energy in eV/atom: 0.760

a = 3.1914 Å, b = 3.1914 Å, c = 33.7240 Å
α = 90.00°, β = 90.00°, γ = 120.00°
Space group R-3m (No. 166, hexagonal axes)
Asymmetric unit:
Gd: 0.0000 0.0000 0.0000 x3
Tm: 0.0000 0.0000 0.4207 x6
Re: 0.0000 0.0000 0.5000 x3

Here is a geometry-optimized Bi2SbPd6 structure from Alexandria via LeMat-Bulk. Energies are from GGA-PBE.

Values from the calculation:
Raw formation energy in eV per atom: -0.2510

a = 13.9557 Å, b = 7.7855 Å, c = 3.3715 Å
α = 90.00°, β = 103.88°, γ = 90.00°
Space group C2/m (No. 12)
Asymmetric unit:
Bi: 0.1633 0.0000 0.1630 x4
Sb: 0.0000 0.5000 0.5000 x2
Pd: 0.0000 0.2235 0.0000 x4
Pd: 0.1658 0.3012 0.6657 x8

Here is a geometry-optimized PmHoHgSb structure from Alexandria via LeMat-Bulk. Energies are from GGA-PBE.

Values from the calculation:
Raw formation energy in eV per atom: -0.6211

a = 7.5613 Å, b = 7.5613 Å, c = 7.5613 Å
α = 90.00°, β = 90.00°, γ = 90.00°
Space group F-43m (No. 216)
Asymmetric unit:
Pm: 0.0000 0.0000 0.0000 x4
Ho: 0.0000 0.0000 0.5000 x4
Hg: 0.2500 0.2500 0.7500 x4
Sb: 0.2500 0.2500 0.2500 x4

Here is a geometry-optimized Mn2SeCl structure from Alexandria via LeMat-Bulk. Energies are from GGA-PBE.

Values from the calculation:
Raw formation energy in eV per atom: -0.3026
Energy relative to the lowest polymorph listed for this composition in meV per atom: 27

a = 7.7554 Å, b = 3.5461 Å, c = 7.2105 Å
α = 90.00°, β = 121.49°, γ = 90.00°
Space group C2/m (No. 12)
Asymmetric unit:
Mn: 0.2084 0.0000 0.3136 x4
Se: 0.0000 0.0000 0.5000 x2
Cl: 0.0000 0.5000 0.0000 x2

Here is a geometry-optimized Ce3Sm3ErSe8 structure from Alexandria via LeMat-Bulk. Energies are from GGA-PBE.

Values from the calculation:
Raw formation energy in eV per atom: -1.8599

a = 8.3629 Å, b = 8.3629 Å, c = 20.4128 Å
α = 90.00°, β = 90.00°, γ = 120.00°
Space group R-3m (No. 166, hexagonal axes)
Asymmetric unit:
Ce: 0.0000 0.5000 0.0000 x9
Sm: 0.0000 0.5000 0.5000 x9
Er: 0.0000 0.0000 0.0000 x3
Se: 0.0000 0.0000 0.2489 x6
Se: 0.0077 0.5038 0.7493 x18

Here is a geometry-optimized Cs2TlCdAu structure from Alexandria via LeMat-Bulk. Energies are from GGA-PBE.

Values from the calculation:
Energy relative to the lowest polymorph listed for this composition in meV per atom: 151
Formation energy in eV/atom: -0.016

a = 7.0021 Å, b = 7.0021 Å, c = 5.3907 Å
α = 90.00°, β = 90.00°, γ = 90.00°
Space group P4/mmm (No. 123)
Asymmetric unit:
Cs: 0.0000 0.5000 0.0000 x2
Tl: 0.0000 0.0000 0.5000 x1
Cd: 0.5000 0.5000 0.5000 x1
Au: 0.0000 0.0000 0.0000 x1

Here is a geometry-optimized Ca3CoCl structure from Alexandria via LeMat-Bulk. Energies are from GGA-PBE.

Values from the calculation:
Raw formation energy in eV per atom: -0.1997

a = 5.3625 Å, b = 5.3625 Å, c = 5.3625 Å
α = 90.00°, β = 90.00°, γ = 90.00°
Space group Pm-3m (No. 221)
Asymmetric unit:
Ca: 0.0000 0.0000 0.5000 x3
Co: 0.0000 0.0000 0.0000 x1
Cl: 0.5000 0.5000 0.5000 x1

Here is a geometry-optimized Mg2ZnPb structure from Alexandria via LeMat-Bulk. Energies are from GGA-PBE.

Values from the calculation:
Formation energy in eV/atom: 0.074

a = 7.1777 Å, b = 7.1777 Å, c = 7.1777 Å
α = 90.00°, β = 90.00°, γ = 90.00°
Space group F-43m (No. 216)
Asymmetric unit:
Mg: 0.0000 0.0000 0.0000 x4
Mg: 0.2500 0.2500 0.2500 x4
Zn: 0.2500 0.2500 0.7500 x4
Pb: 0.0000 0.0000 0.5000 x4

Here is a geometry-optimized Tm2PSe structure from Alexandria via LeMat-Bulk. Energies are from GGA-PBE.

Values from the calculation:
Raw formation energy in eV per atom: -1.7409
Energy relative to the lowest polymorph listed for this composition in meV per atom: 0

a = 3.9618 Å, b = 3.9618 Å, c = 19.7925 Å
α = 90.00°, β = 90.00°, γ = 120.00°
Space group R-3m (No. 166, hexagonal axes)
Asymmetric unit:
Tm: 0.0000 0.0000 0.2423 x6
P: 0.0000 0.0000 0.5000 x3
Se: 0.0000 0.0000 0.0000 x3

Here is a geometry-optimized Th3AgSn3 structure from Alexandria via LeMat-Bulk. Energies are from GGA-PBE.

Values from the calculation:
Formation energy in eV/atom: -0.484

a = 11.7556 Å, b = 4.5761 Å, c = 15.4308 Å
α = 90.00°, β = 108.67°, γ = 90.00°
Space group C2/m (No. 12)
Asymmetric unit:
Th: 0.0236 0.0000 0.3813 x4
Th: 0.1025 0.0000 0.9209 x4
Th: 0.2407 0.0000 0.2289 x4
Ag: 0.2304 0.5000 0.3864 x4
Sn: 0.0172 0.5000 0.2316 x4
Sn: 0.1248 0.5000 0.0763 x4
Sn: 0.1383 0.5000 0.5453 x4

Here is a geometry-optimized Li8SbAs2 structure from Alexandria via LeMat-Bulk. Energies are from GGA-PBE.

Values from the calculation:
Raw formation energy in eV per atom: -0.6407
Energy relative to the lowest polymorph listed for this composition in meV per atom: 0

a = 14.6386 Å, b = 4.2775 Å, c = 6.5497 Å
α = 90.00°, β = 116.57°, γ = 90.00°
Space group C2/m (No. 12)
Asymmetric unit:
Li: 0.0002 0.0000 0.2027 x4
Li: 0.1634 0.5000 0.3877 x4
Li: 0.1629 0.5000 0.9393 x4
Li: 0.1668 0.0000 0.6682 x4
Sb: 0.0000 0.5000 0.5000 x2
As: 0.1806 0.0000 0.1803 x4

Here is a geometry-optimized LaMn2TeSe structure from Alexandria via LeMat-Bulk. Energies are from GGA-PBE.

Values from the calculation:
Raw formation energy in eV per atom: 0.2683

a = 4.8020 Å, b = 4.8020 Å, c = 5.9502 Å
α = 90.00°, β = 90.00°, γ = 90.00°
Space group P4/mmm (No. 123)
Asymmetric unit:
La: 0.0000 0.0000 0.0000 x1
Mn: 0.0000 0.5000 0.5000 x2
Te: 0.5000 0.5000 0.5000 x1
Se: 0.5000 0.5000 0.0000 x1

Here is a geometry-optimized LiCu2Pt2 structure from Alexandria via LeMat-Bulk. Energies are from GGA-PBE.

Values from the calculation:
Energy relative to the lowest polymorph listed for this composition in meV per atom: 241
Formation energy in eV/atom: 0.061

a = 3.8562 Å, b = 3.8562 Å, c = 11.1990 Å
α = 90.00°, β = 90.00°, γ = 90.00°
Space group I4/mmm (No. 139)
Asymmetric unit:
Li: 0.0000 0.0000 0.0000 x2
Cu: 0.0000 0.0000 0.3977 x4
Pt: 0.0000 0.5000 0.2500 x4

Here is a geometry-optimized SiNi2Ir structure from Alexandria via LeMat-Bulk. Energies are from GGA-PBE.

Values from the calculation:
Raw formation energy in eV per atom: -0.3303

a = 2.7865 Å, b = 4.1438 Å, c = 8.3407 Å
α = 90.00°, β = 90.00°, γ = 90.00°
Space group Immm (No. 71)
Asymmetric unit:
Si: 0.0000 0.0000 0.0000 x2
Ni: 0.0000 0.5000 0.2765 x4
Ir: 0.0000 0.0000 0.5000 x2

Here is a geometry-optimized BeCdIr2 structure from Alexandria via LeMat-Bulk. Energies are from GGA-PBE.

Values from the calculation:
Energy relative to the lowest polymorph listed for this composition in meV per atom: 158
Formation energy in eV/atom: 0.070

a = 10.1578 Å, b = 2.7904 Å, c = 4.9498 Å
α = 90.00°, β = 116.90°, γ = 90.00°
Space group Cm (No. 8)
Asymmetric unit:
Be: 0.0000 0.0000 0.0000 x2
Cd: 0.1923 0.0000 0.7303 x2
Ir: 0.2092 0.5000 0.2524 x2
Ir: 0.4386 0.0000 0.2957 x2